This record from Alexandria describes crystalline CeDyRuRh at its relaxed geometry. The functional is GGA-PBE.

Cell lengths 3.4567, 3.4567, 6.8390 Å; angles 90.00, 90.00, 90.00 degrees
Positions (direct):
Ru 0.5000 0.5000 0.6180
Ce 0.0000 0.0000 0.8560
Rh 0.5000 0.5000 0.0963
Dy 0.0000 0.0000 0.3577

Relative energy among the computed polymorphs   0.0 meV per atom
Energy of formation   -0.574 eV/atom
DOS at the Fermi energy   0.950 states/eV per atom

This record from Alexandria describes crystalline CeDyRuRh at its relaxed geometry. The functional is GGA-PBE.

Cell lengths 4.8711, 4.8711, 4.8711 Å; angles 60.00, 60.00, 60.00 degrees
Positions (direct):
Ce 0.0000 0.0000 0.0000
Ru 0.7500 0.7500 0.7500
Dy 0.5000 0.5000 0.5000
Rh 0.2500 0.2500 0.2500

Relative energy among the computed polymorphs   21.7 meV per atom
Energy of formation   -0.552 eV/atom
DOS at the Fermi energy   0.976 states/eV per atom

This record from Alexandria describes crystalline Ce2Dy2Si4Rh at its relaxed geometry. The functional is GGA-PBE.

Cell lengths 6.4005, 6.4005, 6.4005 Å; angles 102.77, 112.92, 112.92 degrees
Positions (direct):
Si 0.0000 0.2408 0.7592
Si 0.4815 0.2408 0.2408
Si 0.0000 0.7592 0.2408
Si 0.5185 0.7592 0.7592
Rh 0.0000 0.0000 0.0000
Ce 0.0000 0.3286 0.3286
Ce 0.0000 0.6714 0.6714
Dy 0.5000 0.7500 0.2500
Dy 0.5000 0.2500 0.7500

Uncorrected formation energy   -366 kJ/mol of formula units
DOS at the Fermi energy   0.840 states/eV per atom

Number 1: E_tot -7.365 eV per atom. Number 2: E_tot -7.343 eV per atom. Number 3: E_tot -5.990 eV per atom.